Computed, not measured: crystalline NdMgTlNi at its relaxed geometry at the PBE level of DFT.

## Properties
Symmetry: F-43m, No. 216
ΔH_f (0 K) in kcal/mol of atoms: -3.34
Crystal system: cubic

Cell and atoms, written as POSCAR:
```
NdMgTlNi
1.0
0.000 3.552 3.552
3.552 0.000 3.552
3.552 3.552 0.000
Nd Mg Tl Ni
1 1 1 1
direct
0.000 0.000 0.000
0.500 0.500 0.500
0.750 0.750 0.750
0.250 0.250 0.250
```